Record 1
# PBE with a Hubbard U KMnCu2F8, relaxed
# E_tot (eV/f.u.): -54.6
# Crystal system: tetragonal
data_KMnCu2F8
_chemical_formula_sum 'K2 Mn2 Cu4 F16'
_cell_length_a 5.474
_cell_length_b 5.474
_cell_length_c 11.130
_cell_angle_alpha 90.00
_cell_angle_beta 90.00
_cell_angle_gamma 90.00
_space_group_name_H-M_alt 'I -4'
_space_group_IT_number 82
_space_group_name_Hall 'I -4'
loop_
_atom_site_label
_atom_site_fract_x
_atom_site_fract_y
_atom_site_fract_z
_atom_site_occupancy
K1 0.000 0.000 0.000 1
Mn1 0.000 0.500 0.750 1
Cu1 0.000 0.000 0.500 1
Cu2 0.000 0.500 0.250 1
F1 0.106 0.295 0.564 1
F2 0.201 0.770 0.212 1

Record 2
# PBE with a Hubbard U KCuMoF6, relaxed
# E_tot (eV/f.u.): -43.3
# Crystal system: trigonal
data_KCuMoF6
_chemical_formula_sum 'K2 Cu2 Mo2 F12'
_cell_length_a 6.0071
_cell_length_b 6.0071
_cell_length_c 8.7004
_cell_angle_alpha 90.00
_cell_angle_beta 90.00
_cell_angle_gamma 120.00
_space_group_name_H-M_alt 'P -3 1 c'
_space_group_IT_number 163
_space_group_name_Hall '-P 3 2c'
loop_
_atom_site_label
_atom_site_fract_x
_atom_site_fract_y
_atom_site_fract_z
_atom_site_occupancy
K1 0.3333 0.6667 0.2500 1
Cu1 0.0000 0.0000 0.0000 1
Mo1 0.3333 0.6667 0.7500 1
F1 0.0738 0.3766 0.6160 1